# 1
LiCaAgAs2 (PBEsol, relaxed); crystal system = tetragonal; theoretical density = 3.674 g cm⁻³; energy relative to the elements = 0.6744 eV per atom; VASP energy = -0.1047 Ha/atom
1.0
5.232 0.000 0.000
0.000 5.232 0.000
0.000 0.000 5.032
Li Ca Ag As
1 1 1 2
Cartesian
0.000 0.000 0.000
0.000 0.000 2.516
2.616 2.616 0.000
0.000 2.616 2.516
2.616 0.000 2.516

# 2
CdAg2As (PBEsol, relaxed); polymorph energy (0 for the lowest one) = 0 meV/atom; crystal system = tetragonal; theoretical density = 9.316 g cm⁻³; energy relative to the elements = 0.0599 eV per atom; VASP energy = -0.1166 Ha/atom
1.0
-2.060 2.060 4.231
2.060 -2.060 4.231
2.060 2.060 -4.231
Cd Ag As
1 2 1
Cartesian
0.000 0.000 0.000
2.060 0.000 2.116
0.000 2.060 2.116
0.000 0.000 4.231

# 3
CdAg2As (PBEsol, relaxed); polymorph energy (0 for the lowest one) = 93 meV/atom; crystal system = cubic; theoretical density = 9.114 g cm⁻³; energy relative to the elements = 0.1526 eV per atom; VASP energy = -0.1131 Ha/atom
1.0
0.000 3.324 3.324
3.324 0.000 3.324
3.324 3.324 0.000
Cd Ag As
1 2 1
Cartesian
0.000 0.000 0.000
3.324 3.324 3.324
4.986 4.986 4.986
1.662 1.662 1.662

# 4
CdAg2As (PBEsol, relaxed); polymorph energy (0 for the lowest one) = 18 meV/atom; crystal system = monoclinic; theoretical density = 9.291 g cm⁻³; energy relative to the elements = 0.0776 eV per atom; VASP energy = -0.1159 Ha/atom
1.0
4.884 -1.470 0.000
4.884 1.470 0.000
-0.789 0.000 5.018
Cd Ag As
1 2 1
Cartesian
0.000 0.000 0.000
1.840 0.000 3.817
4.536 0.000 2.558
7.191 0.000 1.412

# 5
CdAg2As2 (PBEsol, relaxed); crystal system = tetragonal; theoretical density = 8.086 g cm⁻³; energy relative to the elements = 0.1983 eV per atom; VASP energy = -0.1252 Ha/atom
1.0
-1.890 1.890 6.868
1.890 -1.890 6.868
1.890 1.890 -6.868
Cd Ag As
1 2 2
Cartesian
0.000 0.000 0.000
0.000 0.000 5.542
0.000 0.000 8.195
1.890 0.000 3.434
0.000 1.890 3.434

# 6
Ta2CdAgAs (PBEsol, relaxed); crystal system = tetragonal; theoretical density = 9.368 g cm⁻³; energy relative to the elements = 1.7923 eV per atom; VASP energy = -0.1893 Ha/atom
1.0
4.957 0.000 0.000
0.000 4.957 0.000
0.000 0.000 4.740
Ta Cd Ag As
2 1 1 1
Cartesian
0.000 2.478 0.000
2.478 0.000 0.000
0.000 0.000 2.370
2.478 2.478 0.000
2.478 2.478 2.370

# 7
CeAgAs2 (PBEsol, relaxed); crystal system = tetragonal; theoretical density = 8.166 g cm⁻³; energy relative to the elements = -0.7958 eV per atom; VASP energy = -0.2141 Ha/atom
1.0
4.031 0.000 0.000
0.000 4.031 0.000
0.000 0.000 9.956
Ce Ag As
2 2 4
Cartesian
1.008 1.008 2.238
3.024 3.024 7.718
1.008 3.024 4.978
3.024 1.008 4.978
1.008 1.008 6.830
1.008 3.024 0.000
3.024 1.008 0.000
3.024 3.024 3.125

# 8
CeZnAgAs2 (PBEsol, relaxed); crystal system = trigonal; theoretical density = 7.284 g cm⁻³; energy relative to the elements = -0.5671 eV per atom; VASP energy = -0.1803 Ha/atom
1.0
4.237 0.000 0.000
-2.119 3.670 0.000
0.000 0.000 6.792
Ce Zn Ag As
1 1 1 2
Cartesian
0.000 0.000 0.000
0.000 2.446 4.217
2.119 1.223 2.412
0.000 2.446 1.615
2.119 1.223 5.073

# 9
Ag4AsCl (PBEsol, relaxed); crystal system = cubic; formation energy without anion corrections = 0.324 eV/atom; theoretical density = 7.979 g cm⁻³; VASP energy = -0.1128 Ha/atom
1.0
0.000 3.835 3.835
3.835 0.000 3.835
3.835 3.835 0.000
Ag As Cl
4 1 1
Cartesian
2.881 2.881 2.881
4.788 4.788 2.881
4.788 2.881 4.788
2.881 4.788 4.788
5.752 5.752 5.752
0.000 0.000 0.000

# 10
Ag2AsCl (PBEsol, relaxed); polymorph energy (0 for the lowest one) = 152 meV/atom; crystal system = cubic; formation energy without anion corrections = 0.362 eV/atom; theoretical density = 7.304 g cm⁻³; VASP energy = -0.1129 Ha/atom
1.0
0.000 3.334 3.334
3.334 0.000 3.334
3.334 3.334 0.000
Ag As Cl
2 1 1
Cartesian
1.667 1.667 1.667
5.001 5.001 5.001
0.000 0.000 0.000
3.334 3.334 3.334

# 11
Ag2AsCl (PBEsol, relaxed); polymorph energy (0 for the lowest one) = 0 meV/atom; crystal system = orthorhombic; formation energy without anion corrections = 0.210 eV/atom; theoretical density = 7.388 g cm⁻³; VASP energy = -0.1185 Ha/atom
1.0
3.093 0.000 0.000
0.000 4.590 0.000
0.000 0.000 5.163
Ag As Cl
2 1 1
Cartesian
0.000 0.000 0.000
1.547 0.000 2.581
0.000 2.295 2.581
1.547 2.295 0.000

# 12
AgAs2Cl (PBEsol, relaxed); polymorph energy (0 for the lowest one) = 274 meV/atom; crystal system = orthorhombic; formation energy without anion corrections = 0.125 eV/atom; theoretical density = 5.558 g cm⁻³; VASP energy = -0.1381 Ha/atom
1.0
-1.765 1.797 6.902
1.765 -1.797 6.902
1.765 1.797 -6.902
Ag As Cl
1 2 1
Cartesian
0.000 0.000 0.000
1.765 0.000 3.040
0.000 1.797 3.862
0.000 0.000 6.902